# 1
The following is a DFT calculation (PBE-GGA) of crystalline KCd3Te at its relaxed geometry.

Cell lengths 5.960, 5.960, 5.960 Å; angles 90.00, 90.00, 90.00 degrees
Space group Pm-3m (No. 221)
Inequivalent atoms, fractional coordinates:
K 0.000 0.000 0.000
Cd 0.000 0.500 0.500
Te 0.500 0.500 0.500

Summary:
The formation energy from raw total energies comes out at 0.158 eV/atom. For the magnetization, the calculation gives 0.00 μB per cell.



# 2
The following is a DFT calculation (PBE-GGA) of crystalline TbPm2Y at its relaxed geometry.

Cell lengths 3.5292, 3.5292, 37.5534 Å; angles 90.00, 90.00, 120.00 degrees
Space group R-3m (No. 166, hexagonal axes)
Inequivalent atoms, fractional coordinates:
Tb 0.0000 0.0000 0.0000
Pm 0.0000 0.0000 0.0887
Y 0.0000 0.0000 0.5000

Summary:
As for the formation energy: 0.1841 eV per atom. For the magnetization, the calculation gives 0.52 μB per cell.